Entry from the Alexandria database: an optimized crystal structure of Na4Ac3TmSe8 (GGA-PBE).

a = 8.8370 Å, b = 8.6772 Å, c = 8.8359 Å
α = 120.63°, β = 120.00°, γ = 90.00°
Closest atoms and distances in Å follow each position.
Positions (direct):
Ac  0.0000  0.5000  0.5000  6 Se 3.09-3.11
Ac  0.5000  0.5000  0.0000  6 Se 3.09-3.11
Ac  0.5000  0.5000  0.5000  6 Se 3.09-3.11
Tm  0.0000  0.5000  0.0000  6 Se 2.92
Se  0.7644  0.2638  0.5288  1 Tm 2.92, 2 Na 3.09, 2 Ac 3.11
Se  0.7494  0.7481  0.4988  3 Ac 3.09, 3 Na 3.10
Se  0.2348  0.2639  0.9992  1 Tm 2.92, 2 Na 3.09, 2 Ac 3.11
Se  0.2356  0.7362  0.4712  1 Tm 2.92, 2 Na 3.09, 2 Ac 3.11
Se  0.2506  0.2519  0.5012  3 Ac 3.09, 3 Na 3.10
Se  0.7645  0.2639  0.9992  1 Tm 2.92, 2 Na 3.09, 2 Ac 3.11
Se  0.2355  0.7361  0.0008  1 Tm 2.92, 2 Na 3.09, 2 Ac 3.11
Se  0.7652  0.7361  0.0008  1 Tm 2.92, 2 Na 3.09, 2 Ac 3.11
Na  0.0000  0.0000  0.5000  6 Se 3.09-3.10
Na  0.0000  0.0000  0.0000  6 Se 3.09-3.10
Na  0.5000  0.0000  0.0000  6 Se 3.27-3.28
Na  0.5000  0.0000  0.5000  6 Se 3.09-3.10

Computed properties:
Formation energy from raw total energies (eV/atom): -1.70

---

Entry from the Alexandria database: an optimized crystal structure of KNa2Au (GGA-PBE).

a = 3.9241 Å, b = 3.9241 Å, c = 8.7934 Å
α = 90.00°, β = 90.00°, γ = 90.00°
Closest atoms and distances in Å follow each position.
Positions (direct):
K  0.5000  0.5000  0.5000  4 K 3.92, 8 Na 4.03
Na  0.0000  0.0000  0.1670  1 Na 2.94, 4 Au 3.14
Na  0.0000  0.0000  0.8330  1 Na 2.94, 4 Au 3.14
Au  0.5000  0.5000  0.0000  8 Na 3.14

Computed properties:
Energy above the lowest structure with this stoichiometry (eV per atom): 0.097